This record from Alexandria via LeMat-Bulk describes a geometry-optimized NaPr2TmS4 structure. The functional is GGA-PBE.

The magnetic moment is 0.0 μB/f.u. The value obtained for the energy relative to the elements, uncorrected is -1.887 eV per atom. As for the density of states at the Fermi level: 2.56 states/eV/f.u.

It has space group P2/m (No. 10), with a = 6.9535 Å, b = 4.0055 Å, c = 6.9888 Å, α = 90.00°, β = 109.10° and γ = 90.00°. The distinct sites, in fractional coordinates, are Na at (0.0000, 0.0000, 0.0000), Pr at (0.0000, 0.5000, 0.5000), Pr at (0.5000, 0.0000, 0.5000), Tm at (0.5000, 0.5000, 0.0000), S at (0.2553, 0.5000, 0.2390) and S at (0.2619, 0.0000, 0.7691).

=====

This record from Alexandria via LeMat-Bulk describes a geometry-optimized Na3PrTm2S6 structure. The functional is GGA-PBE.

The magnetic moment is 0.0 μB/f.u. The value obtained for the energy relative to the elements, uncorrected is -1.823 eV per atom. As for the density of states at the Fermi level: 0.00 states/eV/f.u.

It has space group C2/m (No. 12), with a = 6.9468 Å, b = 12.0342 Å, c = 7.0802 Å, α = 90.00°, β = 109.13° and γ = 90.00°. The distinct sites, in fractional coordinates, are Na at (0.0000, 0.0000, 0.0000), Na at (0.0000, 0.3339, 0.0000), Pr at (0.0000, 0.5000, 0.5000), Tm at (0.0000, 0.1669, 0.5000), S at (0.2292, 0.0000, 0.7280) and S at (0.2491, 0.3266, 0.7266).

=====

This record from Alexandria via LeMat-Bulk describes a geometry-optimized Na3Pr2TmS6 structure. The functional is GGA-PBE.

The magnetic moment is 0.0 μB/f.u. The value obtained for the energy relative to the elements, uncorrected is -1.799 eV per atom. As for the density of states at the Fermi level: 0.00 states/eV/f.u.

It has space group C2/m (No. 12), with a = 7.0812 Å, b = 12.2661 Å, c = 7.1040 Å, α = 90.00°, β = 109.44° and γ = 90.00°. The distinct sites, in fractional coordinates, are Na at (0.0000, 0.0000, 0.0000), Na at (0.0000, 0.3340, 0.0000), Pr at (0.0000, 0.1666, 0.5000), Tm at (0.0000, 0.5000, 0.5000), S at (0.2372, 0.3399, 0.7314) and S at (0.2433, 0.5000, 0.2707).

=====

This record from Alexandria via LeMat-Bulk describes a geometry-optimized NaPr2US4 structure. The functional is GGA-PBE.

The magnetic moment is 2.8 μB/f.u. The value obtained for the energy relative to the elements, uncorrected is -1.689 eV per atom. As for the density of states at the Fermi level: 6.35 states/eV/f.u.

It has space group P2/m (No. 10), with a = 6.9938 Å, b = 4.0185 Å, c = 7.0136 Å, α = 90.00°, β = 109.16° and γ = 90.00°. The distinct sites, in fractional coordinates, are Na at (0.0000, 0.0000, 0.0000), Pr at (0.5000, 0.0000, 0.5000), Pr at (0.5000, 0.5000, 0.0000), U at (0.0000, 0.5000, 0.5000), S at (0.2358, 0.0000, 0.7424) and S at (0.2409, 0.5000, 0.2533).